NaV2ReO8: optimized geometry, PBE with a Hubbard U.

Geometry as POSCAR:
```
NaV2ReO8
1.0
-3.423 -1.845 -2.659
-0.390 -3.696 2.872
-4.130 3.153 3.319
Na V Re O
1 2 1 8
Cartesian
-2.065 1.577 1.659
-4.878 -0.295 2.564
-3.065 -2.093 0.968
0.000 0.000 0.000
-1.887 -2.676 2.451
-6.802 -0.747 3.472
-3.702 -1.589 -0.837
-6.055 0.288 1.081
-1.141 -1.641 0.060
-4.240 -0.799 4.368
-4.593 -2.201 1.784
-3.350 -0.187 1.748
```

Results
Space group = P-1
Total DFT energy (no corrections) = -7.428 eV/atom